Record 1
Compound: K2Se2O7
Source: Alexandria via LeMat-Bulk
Functional: PBE
Structure: relaxed

a b c (Å): 5.3212 12.6564 6.4070
angles (deg): 90.00 93.83 90.00
Atoms (fractional coordinates):
K 0.0890 0.1493 0.3932
K 0.0890 0.3507 0.8932
K 0.9110 0.6493 0.1068
K 0.9110 0.8507 0.6068
Se 0.3875 0.6100 0.6459
Se 0.3875 0.8900 0.1459
Se 0.6125 0.1100 0.8541
Se 0.6125 0.3900 0.3541
O 0.1994 0.6753 0.4769
O 0.1994 0.8247 0.9769
O 0.2425 0.5543 0.8371
O 0.2425 0.9457 0.3371
O 0.3562 0.1749 0.7747
O 0.3562 0.3251 0.2747
O 0.5000 0.0000 0.0000
O 0.5000 0.5000 0.5000
O 0.6438 0.6749 0.7253
O 0.6438 0.8251 0.2253
O 0.7575 0.0543 0.6629
O 0.7575 0.4457 0.1629
O 0.8006 0.1753 0.0231
O 0.8006 0.3247 0.5231

Summary:
- Raw formation energy: -11.7 eV/f.u.
- Electronic total energy: -5.053 eV per atom
- Symmetry: No. 14
- ΔE to the lowest computed polymorph: 0.0441 eV/atom
- D(E_F): 0.00 states/eV/atom

Record 2
Compound: Sr2LaTl
Source: Alexandria via LeMat-Bulk
Functional: PBE
Structure: relaxed

a b c (Å): 4.1035 6.0567 13.0422
angles (deg): 90.00 90.00 90.00
Atoms (fractional coordinates):
Sr 0.0000 0.0000 0.0000
Sr 0.0000 0.5000 0.2082
Sr 0.5000 0.0000 0.7082
Sr 0.5000 0.5000 0.5000
La 0.0000 0.5000 0.7970
La 0.5000 0.0000 0.2970
Tl 0.0000 0.0000 0.4952
Tl 0.5000 0.5000 0.9952

Summary:
- Electronic total energy: -2.793 eV per atom
- Symmetry: No. 44
- ΔH_f (0 K): -0.51 eV per formula unit
- ΔE to the lowest computed polymorph: 0.0328 eV/atom
- D(E_F): 1.24 states/eV/atom

Record 3
Compound: LiMgAg2
Source: Alexandria via LeMat-Bulk
Functional: PBE
Structure: relaxed

a b c (Å): 3.0233 3.0233 27.2212
angles (deg): 90.00 90.00 120.00
Atoms (fractional coordinates):
Li 0.0000 0.0000 0.0000
Li 0.3333 0.6667 0.6667
Li 0.6667 0.3333 0.3333
Mg 0.0000 0.0000 0.5000
Mg 0.3333 0.6667 0.1667
Mg 0.6667 0.3333 0.8333
Ag 0.0000 0.0000 0.2523
Ag 0.0000 0.0000 0.7477
Ag 0.3333 0.6667 0.4144
Ag 0.3333 0.6667 0.9190
Ag 0.6667 0.3333 0.0810
Ag 0.6667 0.3333 0.5856

Summary:
- Electronic total energy: -2.437 eV per atom
- Symmetry: No. 166
- ΔH_f (0 K): -0.54 eV per formula unit
- D(E_F): 0.14 states/eV/atom

Record 4
Compound: NiIr2Os
Source: Alexandria via LeMat-Bulk
Functional: PBE
Structure: relaxed

a b c (Å): 2.7847 4.4321 8.9076
angles (deg): 90.00 90.00 90.00
Atoms (fractional coordinates):
Ni 0.0000 0.0000 0.0000
Ni 0.5000 0.5000 0.5000
Ir 0.0000 0.5000 0.2701
Ir 0.0000 0.5000 0.7299
Ir 0.5000 0.0000 0.2299
Ir 0.5000 0.0000 0.7701
Os 0.0000 0.0000 0.5000
Os 0.5000 0.5000 0.0000

Summary:
- Electronic total energy: -8.385 eV per atom
- Symmetry: No. 71
- ΔH_f (0 K): 1.19 eV per formula unit
- ΔE to the lowest computed polymorph: 0.2934 eV/atom
- D(E_F): 1.12 states/eV/atom

Record 5
Compound: LiDyGa3
Source: Alexandria via LeMat-Bulk
Functional: PBE
Structure: relaxed

a b c (Å): 13.1648 13.1648 4.3505
angles (deg): 90.00 90.00 164.86
Atoms (fractional coordinates):
Li 0.2139 0.7861 0.7500
Li 0.7861 0.2139 0.2500
Dy 0.0748 0.9252 0.2500
Dy 0.9252 0.0748 0.7500
Ga 0.3183 0.6817 0.7500
Ga 0.3728 0.6272 0.2500
Ga 0.4742 0.5258 0.2500
Ga 0.5258 0.4742 0.7500
Ga 0.6272 0.3728 0.7500
Ga 0.6817 0.3183 0.2500

Summary:
- Electronic total energy: -3.567 eV per atom
- Symmetry: No. 63
- ΔH_f (0 K): -2.24 eV per formula unit
- D(E_F): 0.49 states/eV/atom

Record 6
Compound: Na2LaSn2
Source: Alexandria via LeMat-Bulk
Functional: PBE
Structure: relaxed

a b c (Å): 9.1519 9.1519 3.2934
angles (deg): 90.00 90.00 90.00
Atoms (fractional coordinates):
Na 0.1121 0.3879 0.0000
Na 0.3879 0.8879 0.0000
Na 0.6121 0.1121 0.0000
Na 0.8879 0.6121 0.0000
La 0.0000 0.0000 0.0000
La 0.5000 0.5000 0.0000
Sn 0.1859 0.6859 0.5000
Sn 0.3141 0.1859 0.5000
Sn 0.6859 0.8141 0.5000
Sn 0.8141 0.3141 0.5000

Summary:
- Electronic total energy: -3.409 eV per atom
- Symmetry: No. 127
- ΔH_f (0 K): -1.47 eV per formula unit
- ΔE to the lowest computed polymorph: 0.0856 eV/atom
- D(E_F): 0.43 states/eV/atom

Record 7
Compound: La2Cu2Tc
Source: Alexandria via LeMat-Bulk
Functional: PBE
Structure: relaxed

a b c (Å): 7.1362 7.1362 4.2501
angles (deg): 90.00 90.00 90.00
Atoms (fractional coordinates):
La 0.1909 0.3091 0.0000
La 0.3091 0.8091 0.0000
La 0.6909 0.1909 0.0000
La 0.8091 0.6909 0.0000
Cu 0.1213 0.6213 0.5000
Cu 0.3787 0.1213 0.5000
Cu 0.6213 0.8787 0.5000
Cu 0.8787 0.3787 0.5000
Tc 0.0000 0.0000 0.5000
Tc 0.5000 0.5000 0.5000

Summary:
- Electronic total energy: -5.528 eV per atom
- Symmetry: No. 127
- ΔH_f (0 K): 0.77 eV per formula unit
- D(E_F): 0.92 states/eV/atom

Record 8
Compound: Na2HgN
Source: Alexandria via LeMat-Bulk
Functional: PBE
Structure: relaxed

a b c (Å): 6.7552 6.7552 6.7552
angles (deg): 90.00 90.00 90.00
Atoms (fractional coordinates):
Na 0.2500 0.2500 0.2500
Na 0.2500 0.2500 0.7500
Na 0.2500 0.7500 0.2500
Na 0.2500 0.7500 0.7500
Na 0.7500 0.2500 0.2500
Na 0.7500 0.2500 0.7500
Na 0.7500 0.7500 0.2500
Na 0.7500 0.7500 0.7500
Hg 0.0000 0.0000 0.0000
Hg 0.0000 0.5000 0.5000
Hg 0.5000 0.0000 0.5000
Hg 0.5000 0.5000 0.0000
N 0.0000 0.0000 0.5000
N 0.0000 0.5000 0.0000
N 0.5000 0.0000 0.0000
N 0.5000 0.5000 0.5000

Summary:
- Raw formation energy: 2.3 eV/f.u.
- Electronic total energy: -2.230 eV per atom
- Symmetry: No. 225
- ΔE to the lowest computed polymorph: 0.2873 eV/atom
- D(E_F): 0.49 states/eV/atom

Number 1: total magnetic moment 0.2 μB/f.u.. Number 2: total magnetic moment 0.0 μB/f.u.. Number 3: total magnetic moment 0.0 μB/f.u.. Number 4: total magnetic moment 0.0 μB/f.u.. Number 5: total magnetic moment 0.0 μB/f.u.. Number 6: total magnetic moment 0.2 μB/f.u.. Number 7: total magnetic moment 0.0 μB/f.u.. Number 8: total magnetic moment 1.0 μB/f.u..